First-principles (GGA-PBE) data for a relaxed Th2RhBr2 crystal, as listed in Alexandria.

Summary:
Crystal system = trigonal
Formation energy (no corrections) = -1.2707 eV/atom
E_tot = -6.378 eV/atom

Cell: 4.1399 4.1399 11.2054 Å, 79.35 79.35 60.00°
Atoms (fractional coordinates):
Th1 0.6188 0.6188 0.1436
Th2 0.3812 0.3812 0.8564
Rh1 0.0000 0.0000 0.0000
Br1 0.2222 0.2222 0.3333
Br2 0.7778 0.7778 0.6667